Compound: Pr2Nd4DyMg
Source: Alexandria
Functional: PBE
Structure: relaxed

## Properties
* formation energy from the elements: 7.8 meV/atom
* symmetry: No. 123

Unit cell a=5.0925 b=5.0962 c=11.4924 alpha=63.69 beta=90.00 gamma=90.00
Closest atoms and distances in Å follow each position.
Sites, in units of the cell vectors:
Pr1 0.0000 0.0000 0.0000  4 Mg 3.60, 8 Nd 3.61
Pr2 0.5000 0.0000 0.5000  4 Dy 3.60, 8 Nd 3.64
Nd1 0.0000 0.7479 0.7521  4 Nd 3.60, 2 Mg 3.61, 4 Pr 3.61-3.64, 2 Dy 3.64
Nd2 0.0000 0.2521 0.2479  4 Nd 3.60, 2 Mg 3.61, 4 Pr 3.61-3.64, 2 Dy 3.64
Nd3 0.5000 0.7518 0.2482  4 Nd 3.60, 4 Pr 3.61-3.64, 2 Mg 3.61, 2 Dy 3.64
Nd4 0.5000 0.2482 0.7518  4 Nd 3.60, 4 Pr 3.61-3.64, 2 Mg 3.61, 2 Dy 3.64
Dy1 0.0000 0.5000 0.5000  4 Pr 3.60, 8 Nd 3.64
Mg1 0.5000 0.5000 0.0000  4 Pr 3.60, 8 Nd 3.61

=====

Compound: InTcRu2N
Source: Alexandria
Functional: PBE
Structure: relaxed

## Properties
* symmetry: No. 123

Unit cell a=4.1121 b=4.1121 c=4.1000 alpha=90.00 beta=90.00 gamma=90.00
Closest atoms and distances in Å follow each position.
Sites, in units of the cell vectors:
Ru1 0.0000 0.5000 0.0000  2 N 2.06
Ru2 0.5000 0.0000 0.0000  2 N 2.06
N1 0.0000 0.0000 0.0000  2 Tc 2.05, 4 Ru 2.06
Tc1 0.0000 0.0000 0.5000  2 N 2.05
In1 0.5000 0.5000 0.5000  8 Ru 2.90, 4 Tc 2.91

=====

Compound: IrPb2W
Source: Alexandria
Functional: PBE
Structure: relaxed

## Properties
* formation energy from the elements: 285.1 meV/atom
* symmetry: No. 99
* relative energy among the computed polymorphs: 0 meV/atom

Unit cell a=3.0866 b=3.0866 c=9.4799 alpha=90.00 beta=90.00 gamma=90.01
Closest atoms and distances in Å follow each position.
Sites, in units of the cell vectors:
Ir1 0.5000 0.5000 0.7057  4 W 2.64
Pb1 0.0000 0.0000 0.9425  4 Pb 3.09, 4 Ir 3.13
Pb2 0.5000 0.5000 0.3030  4 Pb 3.09, 4 W 3.19
W1 0.0000 0.0000 0.5487  4 Ir 2.64

=====

Compound: K2PRh
Source: Alexandria
Functional: PBE
Structure: relaxed

## Properties
* formation energy from the elements: 362.1 meV/atom
* symmetry: No. 123

Unit cell a=4.4680 b=4.4680 c=5.0134 alpha=90.00 beta=90.00 gamma=90.00
Closest atoms and distances in Å follow each position.
Sites, in units of the cell vectors:
K1 0.0000 0.0000 0.9994  2 K 2.50-2.51
K2 0.0000 0.0000 0.5006  2 K 2.50-2.51
P1 0.5000 0.5000 0.2500  2 Rh 2.51
Rh1 0.5000 0.5000 0.7500  2 P 2.51

=====

Sequential uncorrected energy output: -34.8; -39.5; -28.1; -13.5 eV for the cell shown